## NaVRhO4 (GGA+U)

Data for NaVRhO4 after structural relaxation.

Summary:
E_tot   -0.4672 Ry per atom

a = 5.491 Å, b = 5.632 Å, c = 6.415 Å
α = 90.00°, β = 103.60°, γ = 90.00°
Space group P2_1/m (No. 11)
One atom of each set of equivalent atoms:
1 Na 0.245 0.250 0.458
2 V 0.236 0.750 0.147
3 Rh 0.263 0.250 0.971
4 O 0.022 0.750 0.315
5 O 0.025 0.750 0.885
6 O 0.448 0.510 0.213